Record 1
## HfTaNi2Ir (GGA-PBE)

Data for an optimized crystal structure of HfTaNi2Ir.

Properties
**Electronic total energy**: -7.374 eV per atom
**Energy of formation from the pure elements**: 5.36 eV/f.u.
**N(E_F)**: 7.9 states/eV/cell
**V**: 19.6 A^3/atom

Cell lengths 4.5135, 4.5135, 4.8227 Å; angles 90.00, 90.00, 90.00 degrees
Space group P4/mmm (No. 123)
One atom of each set of equivalent atoms:
1 Hf 0.0000 0.0000 0.0000 [1 per cell]
2 Ta 0.5000 0.5000 0.0000 [1 per cell]
3 Ni 0.0000 0.5000 0.5000 [2 per cell]
4 Ir 0.0000 0.0000 0.5000 [1 per cell]



Record 2
## Sm2RhSe (GGA-PBE)

Data for an optimized crystal structure of Sm2RhSe.

Properties
**Electronic total energy**: -6.329 eV per atom
**N(E_F)**: 10.7 states/eV/cell
**V**: 24.4 A^3/atom
**Formation energy without anion corrections**: -1.26 eV/atom

Cell lengths 3.9962, 22.9520, 4.2625 Å; angles 90.00, 90.00, 90.00 degrees
Space group Cmcm (No. 63)
One atom of each set of equivalent atoms:
1 Sm 0.0000 0.0618 0.2500 [4 per cell]
2 Sm 0.0000 0.3265 0.2500 [4 per cell]
3 Rh 0.0000 0.4553 0.2500 [4 per cell]
4 Se 0.0000 0.1928 0.2500 [4 per cell]



Record 3
## NaAcGa (GGA-PBE)

Data for an optimized crystal structure of NaAcGa.

Properties
**Electronic total energy**: -2.899 eV per atom
**Energy of formation from the pure elements**: -0.24 eV/f.u.
**N(E_F)**: 11.8 states/eV/cell
**V**: 34.0 A^3/atom

Cell lengths 7.4170, 7.4170, 7.4170 Å; angles 90.00, 90.00, 90.00 degrees
Space group F-43m (No. 216)
One atom of each set of equivalent atoms:
1 Na 0.0000 0.0000 0.0000 [4 per cell]
2 Ac 0.0000 0.0000 0.5000 [4 per cell]
3 Ga 0.2500 0.2500 0.2500 [4 per cell]



- The lowest electronic total energy belongs to which entry?
  HfTaNi2Ir



Copy entry 2 word for word.
## Sm2RhSe (GGA-PBE)

Data for an optimized crystal structure of Sm2RhSe.

Properties
**Electronic total energy**: -6.329 eV per atom
**N(E_F)**: 10.7 states/eV/cell
**V**: 24.4 A^3/atom
**Formation energy without anion corrections**: -1.26 eV/atom

Cell lengths 3.9962, 22.9520, 4.2625 Å; angles 90.00, 90.00, 90.00 degrees
Space group Cmcm (No. 63)
One atom of each set of equivalent atoms:
1 Sm 0.0000 0.0618 0.2500 [4 per cell]
2 Sm 0.0000 0.3265 0.2500 [4 per cell]
3 Rh 0.0000 0.4553 0.2500 [4 per cell]
4 Se 0.0000 0.1928 0.2500 [4 per cell]